4
Lattice="-1.578 2.379 6.772 1.578 -2.379 6.772 1.578 2.379 -6.772" Properties=species:S:1:pos:R:3 comment="InFePb2, optimized geometry, DFT GGA-PBE" e_form_kj_per_mol_fu=136 total_energy_ev_per_cell=-17.21 crystal_system=orthorhombic dos_at_fermi_per_ev_atom=0.884 de_polymorph_ev_per_fu=0.31 pbc="T T T"
In 0.000 0.000 0.000
Fe 1.578 0.000 2.412
Pb 0.000 0.000 4.957
Pb 0.000 2.379 2.417